Below is crystalline Cs2IrCl6 at its relaxed geometry, with properties calculated at the PBE-GGA level.

Lattice parameters (Å, degrees): 7.454 7.454 7.454 60.00 60.00 60.00
Site moments in Bohr magnetons follow the coordinates.
Fractional positions:
Cs 0.250 0.250 0.250  0.00
Cs 0.750 0.750 0.750  0.00
Ir 0.000 0.000 0.000  0.66
Cl 0.777 0.777 0.223  0.04
Cl 0.777 0.223 0.777  0.04
Cl 0.223 0.777 0.223  0.04
Cl 0.223 0.223 0.777  0.04
Cl 0.223 0.777 0.777  0.04
Cl 0.777 0.223 0.223  0.04

Output
- DOS at the Fermi energy (states/eV/cell) = 9.2
- total magnetization (μB/f.u.) = 1.07
- VASP energy (eV/atom) = -3.6306

---

Below is crystalline Pm6Nd2HoEr3 at its relaxed geometry, with properties calculated at the PBE-GGA level.

Lattice parameters (Å, degrees): 6.259 6.259 11.914 95.02 95.02 120.00
Fractional positions:
Pm 0.915 0.583 0.746
Pm 0.752 0.752 0.254
Pm 0.085 0.417 0.254
Pm 0.583 0.915 0.746
Pm 0.248 0.248 0.746
Pm 0.417 0.085 0.254
Nd 0.333 0.667 0.000
Nd 0.667 0.333 0.000
Ho 0.000 0.000 0.000
Er 0.166 0.834 0.500
Er 0.834 0.166 0.500
Er 0.500 0.500 0.500

Output
- formation enthalpy at 0 K (eV/f.u.) = 0.187
- DOS at the Fermi energy (states/eV/cell) = 15.0
- total magnetization (μB/f.u.) = 0.00

---

Below is crystalline RuRh2Cl at its relaxed geometry, with properties calculated at the PBE-GGA level.

Lattice parameters (Å, degrees): 4.516 4.516 4.516 125.39 125.39 80.90
Fractional positions:
Cl 0.750 0.250 0.500
Rh 0.000 0.000 0.000
Rh 0.250 0.750 0.500
Ru 0.500 0.500 0.000

Output
- DOS at the Fermi energy (states/eV/cell) = 4.2
- total magnetization (μB/f.u.) = 0.00
- excess energy over the best structure of this formula in the dataset (meV/atom) = 462

---

Below is crystalline La2YSi3Pt4 at its relaxed geometry, with properties calculated at the PBE-GGA level.

Lattice parameters (Å, degrees): 4.312 4.312 10.906 90.00 90.00 90.00
Fractional positions:
La 0.500 0.000 0.229
La 0.000 0.500 0.771
Y 0.500 0.500 0.500
Si 0.000 0.000 0.500
Si 0.500 0.000 0.884
Si 0.000 0.500 0.116
Pt 0.500 0.500 0.000
Pt 0.000 0.000 0.000
Pt 0.500 0.000 0.662
Pt 0.000 0.500 0.338

Output
- DOS at the Fermi energy (states/eV/cell) = 6.5
- total magnetization (μB/f.u.) = 0.00
- VASP energy (eV/atom) = -6.7507